This record from OQMD describes a relaxed structure of TbTmNi2B2N2. The functional is GGA-PBE.

## Properties
As for the crystal system: tetragonal. The value obtained for the final energy is -0.543 Ry/atom. Its total magnetic moment is 0.008 μB/f.u.

Cell lengths 3.4777, 3.4777, 7.4939 Å; angles 90.00, 90.00, 90.00 degrees
Positions (direct):
B (0.0000, 0.0000, 0.3393)
B (0.5000, 0.5000, 0.6624)
N (0.0000, 0.0000, 0.1447)
N (0.5000, 0.5000, 0.8581)
Ni (0.5000, 0.0000, 0.4987)
Ni (0.0000, 0.5000, 0.4987)
Tb (0.0000, 0.0000, 0.8318)
Tm (0.5000, 0.5000, 0.1662)

This record from OQMD describes a relaxed structure of RbSbAu. The functional is GGA-PBE.

## Properties
Its energy above the most stable polymorph in this dataset is 645 meV per atom. As for the crystal system: cubic.

Cell lengths 5.4380, 5.4380, 5.4380 Å; angles 60.00, 60.00, 60.00 degrees
Positions (direct):
Au (0.2500, 0.2500, 0.2500)
Rb (0.0000, 0.0000, 0.0000)
Sb (0.7500, 0.7500, 0.7500)

This record from OQMD describes a relaxed structure of Tm2Fe2B4Ir3. The functional is GGA-PBE.

## Properties
As for the crystal system: orthorhombic. The value obtained for the final energy is -0.572 Ry/atom. Its total magnetic moment is 0.057 μB/f.u.

Cell lengths 7.2990, 6.1368, 5.4556 Å; angles 77.80, 55.26, 46.93 degrees
Positions (direct):
B (0.4826, 0.8012, 0.1988)
B (0.1988, 0.5174, 0.4826)
B (0.8012, 0.4826, 0.5174)
B (0.5174, 0.1988, 0.8012)
Fe (0.2500, 0.2500, 0.2500)
Fe (0.7500, 0.7500, 0.7500)
Ir (0.5000, 0.5000, 0.0000)
Ir (0.0000, 0.0000, 0.5000)
Ir (0.5000, 0.5000, 0.5000)
Tm (0.8539, 0.8539, 0.1461)
Tm (0.1461, 0.1461, 0.8539)

This record from OQMD describes a relaxed structure of Pr2Dy2CIBr2Cl2. The functional is GGA-PBE.

## Properties
Its energy above the most stable polymorph in this dataset is 3 meV per atom. As for the crystal system: monoclinic. Its total magnetic moment is 0.017 μB/f.u.

Cell lengths 9.1891, 9.1891, 8.9468 Å; angles 102.73, 102.73, 24.73 degrees
Positions (direct):
Br (0.8255, 0.8255, 0.1438)
Br (0.1745, 0.1745, 0.8562)
C (0.5000, 0.5000, 0.0000)
Cl (0.1649, 0.1649, 0.2830)
Cl (0.8351, 0.8351, 0.7170)
Dy (0.6375, 0.6375, 0.0674)
Dy (0.3625, 0.3625, 0.9326)
I (0.5000, 0.5000, 0.5000)
Pr (0.0000, 0.0000, 0.1964)
Pr (0.0000, 0.0000, 0.8036)